The following is a GGA-PBE calculation of an optimized crystal structure of HoTmLu2In2, from OQMD.

Geometry as extended XYZ:
```
6
Lattice="5.285 0.000 0.000 -2.642 4.577 0.000 0.000 0.000 6.626" Properties=species:S:1:pos:R:3 pbc="T T T"
Ho 0.000 0.000 0.000
Tm 2.642 1.526 3.313
Lu 0.000 3.051 1.664
Lu 0.000 3.051 4.962
In 0.000 0.000 3.313
In 2.642 1.526 0.000
```

Results
- density (g/cm3) = 9.47
- calculated volume (Å³ per atom) = 26.71
- space-group type = P-6m2, No. 187
- raw total energy (eV per atom) = -4.2668


The following is a GGA-PBE calculation of an optimized crystal structure of GdDy2Ag4Sn4, from OQMD.

Geometry as extended XYZ:
```
11
Lattice="-2.281 3.680 7.641 2.281 -3.680 7.641 2.281 3.680 -7.641" Properties=species:S:1:pos:R:3 pbc="T T T"
Gd 0.000 0.000 0.000
Dy 2.281 0.000 5.696
Dy 0.000 3.680 1.945
Ag 2.281 1.460 -2.617
Ag 2.281 1.460 2.617
Ag 0.000 2.220 5.024
Ag 0.000 2.220 10.258
Sn 0.000 0.000 3.287
Sn 2.281 2.239 0.000
Sn 0.000 1.441 7.641
Sn 0.000 0.000 11.995
```

Results
- density (g/cm3) = 8.99
- calculated volume (Å³ per atom) = 23.32
- space-group type = Immm, No. 71
- raw total energy (eV per atom) = -4.2405


The following is a GGA-PBE calculation of an optimized crystal structure of ZnP, from OQMD.

Geometry as extended XYZ:
```
2
Lattice="2.707 0.000 0.000 -1.354 2.345 0.000 0.000 0.000 4.720" Properties=species:S:1:pos:R:3 pbc="T T T"
Zn 0.000 0.000 0.000
P 0.000 1.563 2.360
```

Results
- density (g/cm3) = 5.34
- calculated volume (Å³ per atom) = 14.98
- space-group type = P-6m2, No. 187
- raw total energy (eV per atom) = -2.9060


The following is a GGA-PBE calculation of an optimized crystal structure of CsScZnS3, from OQMD.

Geometry as extended XYZ:
```
12
Lattice="8.737 -1.965 0.000 8.737 1.965 0.000 -1.296 0.000 8.545" Properties=species:S:1:pos:R:3 pbc="T T T"
Cs 2.618 0.000 0.522
Cs 13.560 0.000 8.023
Sc 2.239 0.000 4.774
Sc 13.940 0.000 3.771
Zn 7.989 0.000 2.313
Zn 8.190 0.000 6.232
S -0.648 0.000 4.273
S 4.730 0.000 5.362
S 5.701 0.000 2.164
S 8.737 0.000 0.000
S 10.478 0.000 6.381
S 11.448 0.000 3.183
```

Results
- density (g/cm3) = 3.84
- calculated volume (Å³ per atom) = 24.45
- space-group type = C2/m, No. 12
- raw total energy (eV per atom) = -4.6730


The following is a GGA-PBE calculation of an optimized crystal structure of TlSiTe2AuSe, from OQMD.

Geometry as extended XYZ:
```
12
Lattice="1.983 -8.025 0.000 1.983 8.025 0.000 0.000 0.000 10.544" Properties=species:S:1:pos:R:3 pbc="T T T"
Tl 1.983 4.041 7.908
Tl 1.983 -4.041 2.636
Si 1.983 0.000 0.000
Si 1.983 0.000 5.272
Te 1.983 6.068 5.320
Te 1.983 6.068 10.496
Te 1.983 -6.068 0.048
Te 1.983 -6.068 5.224
Au 1.983 6.166 2.636
Au 1.983 -6.166 7.908
Se 1.983 0.074 2.636
Se 1.983 -0.074 7.908
```

Results
- density (g/cm3) = 7.56
- calculated volume (Å³ per atom) = 27.96
- space-group type = Cmcm, No. 63
- raw total energy (eV per atom) = -3.5070


The following is a GGA-PBE calculation of an optimized crystal structure of HoNbIr, from OQMD.

Geometry as extended XYZ:
```
3
Lattice="0.000 3.229 3.229 3.229 0.000 3.229 3.229 3.229 0.000" Properties=species:S:1:pos:R:3 pbc="T T T"
Ho 0.000 0.000 0.000
Nb 3.229 3.229 3.229
Ir 4.844 4.844 4.844
```

Results
- formation enthalpy at 0 K (meV per atom) = -200
- density (g/cm3) = 11.09
- calculated volume (Å³ per atom) = 22.45
- relative energy among the computed polymorphs (meV/atom) = 0
- space-group type = F-43m, No. 216
- raw total energy (eV per atom) = -8.0415


The following is a GGA-PBE calculation of an optimized crystal structure of SrZnGa, from OQMD.

Geometry as extended XYZ:
```
6
Lattice="-2.334 3.837 4.013 2.334 -3.837 4.013 2.334 3.837 -4.013" Properties=species:S:1:pos:R:3 pbc="T T T"
Sr 0.000 0.000 0.000
Sr 0.000 3.837 0.656
Zn 2.334 2.280 -0.993
Zn 0.000 1.557 3.020
Ga 2.334 -1.441 1.678
Ga 2.334 1.441 1.678
```

Results
- density (g/cm3) = 5.15
- calculated volume (Å³ per atom) = 23.96
- space-group type = Imm2, No. 44
- raw total energy (eV per atom) = -2.3764


The following is a GGA-PBE calculation of an optimized crystal structure of PmReNi, from OQMD.

Geometry as extended XYZ:
```
3
Lattice="0.000 3.212 3.212 3.212 0.000 3.212 3.212 3.212 0.000" Properties=species:S:1:pos:R:3 pbc="T T T"
Pm 0.000 0.000 0.000
Re 1.606 1.606 1.606
Ni 4.818 4.818 4.818
```

Results
- formation enthalpy at 0 K (meV per atom) = 1513
- density (g/cm3) = 9.77
- calculated volume (Å³ per atom) = 22.09
- relative energy among the computed polymorphs (meV/atom) = 813
- space-group type = F-43m, No. 216
- raw total energy (eV per atom) = -6.0658


The following is a GGA-PBE calculation of an optimized crystal structure of InAu15, from OQMD.

Geometry as extended XYZ:
```
32
Lattice="5.017 0.000 0.000 0.000 36.160 0.000 -1.662 0.000 4.732" Properties=species:S:1:pos:R:3 pbc="T T T"
In -0.416 6.555 1.183
In -1.247 29.605 3.549
Au -1.247 8.183 3.549
Au -0.416 9.785 1.183
Au -1.247 11.278 3.549
Au -0.416 12.808 1.183
Au -1.247 14.307 3.549
Au -0.416 15.815 1.183
Au -1.247 17.330 3.549
Au -0.416 18.830 1.183
Au -1.247 20.345 3.549
Au -0.416 21.853 1.183
Au -1.247 23.352 3.549
Au -0.416 24.882 1.183
Au -1.247 26.376 3.549
Au -0.416 27.977 1.183
Au 1.262 6.794 3.549
Au 2.093 8.177 1.183
Au 1.262 9.786 3.549
Au 2.093 11.275 1.183
Au 1.262 12.785 3.549
Au 2.093 14.306 1.183
Au 1.262 15.802 3.549
Au 2.093 17.331 1.183
Au 1.262 18.829 3.549
Au 2.093 20.358 1.183
Au 1.262 21.854 3.549
Au 2.093 23.375 1.183
Au 1.262 24.885 3.549
Au 2.093 26.374 1.183
Au 1.262 27.984 3.549
Au 2.093 29.366 1.183
```

Results
- density (g/cm3) = 11.87
- calculated volume (Å³ per atom) = 26.83
- relative energy among the computed polymorphs (meV/atom) = 21
- space-group type = P2/c, No. 13
- raw total energy (eV per atom) = -3.2048


The following is a GGA-PBE calculation of an optimized crystal structure of GdGeSO, from OQMD.

Geometry as extended XYZ:
```
8
Lattice="2.255 1.302 9.632 -2.255 1.302 9.632 0.000 -2.604 9.632" Properties=species:S:1:pos:R:3 pbc="T T T"
Gd 0.000 0.000 6.588
Gd 0.000 0.000 22.309
Ge 0.000 0.000 10.660
Ge 0.000 0.000 18.237
S 0.000 0.000 3.655
S 0.000 0.000 25.242
O 0.000 0.000 8.827
O 0.000 0.000 20.070
```

Results
- density (g/cm3) = 5.44
- calculated volume (Å³ per atom) = 21.21
- relative energy among the computed polymorphs (meV/atom) = 288
- space-group type = R-3m, No. 166
- raw total energy (eV per atom) = -5.9369


The following is a GGA-PBE calculation of an optimized crystal structure of CdAsNO, from OQMD.

Geometry as extended XYZ:
```
8
Lattice="3.075 0.000 0.000 0.000 5.975 0.000 0.000 0.000 6.275" Properties=species:S:1:pos:R:3 pbc="T T T"
Cd 0.000 1.353 0.000
Cd 0.000 4.622 3.138
As 1.537 1.471 3.091
As 1.537 4.504 6.228
N 0.000 0.780 4.081
N 0.000 5.195 0.943
O 1.537 2.847 0.635
O 1.537 3.128 3.773
```

Results
- density (g/cm3) = 6.26
- calculated volume (Å³ per atom) = 14.41
- relative energy among the computed polymorphs (meV/atom) = 0
- space-group type = Pmc2_1, No. 26
- raw total energy (eV per atom) = -4.9733


The following is a GGA-PBE calculation of an optimized crystal structure of Nb3As5Au, from OQMD.

Geometry as extended XYZ:
```
9
Lattice="5.675 0.000 0.000 -2.838 4.915 0.000 0.000 0.000 6.707" Properties=species:S:1:pos:R:3 pbc="T T T"
Nb -1.419 2.457 0.000
Nb 2.838 0.000 0.000
Nb 1.419 2.457 0.000
As 0.000 0.000 0.000
As 0.000 3.277 2.055
As 0.000 3.277 4.652
As 2.838 1.638 2.055
As 2.838 1.638 4.652
Au 0.000 0.000 3.353
```

Results
- density (g/cm3) = 7.55
- calculated volume (Å³ per atom) = 20.79
- space-group type = P6/mmm, No. 191
- raw total energy (eV per atom) = -6.2963


The following is a GGA-PBE calculation of an optimized crystal structure of Sc2Al3Zn3, from OQMD.

Geometry as extended XYZ:
```
8
Lattice="5.861 0.000 0.000 -2.930 5.076 0.000 0.000 0.000 4.554" Properties=species:S:1:pos:R:3 pbc="T T T"
Sc 0.000 0.000 0.000
Sc 0.000 3.384 2.277
Al 1.538 0.888 2.277
Al 4.323 0.888 2.277
Al 2.930 3.300 2.277
Zn 2.930 0.038 0.000
Zn 1.498 2.519 0.000
Zn 4.363 2.519 0.000
```

Results
- density (g/cm3) = 4.50
- calculated volume (Å³ per atom) = 16.93
- relative energy among the computed polymorphs (meV/atom) = 5
- space-group type = P-6m2, No. 187
- raw total energy (eV per atom) = -3.8112


The following is a GGA-PBE calculation of an optimized crystal structure of SmYNO, from OQMD.

Geometry as extended XYZ:
```
8
Lattice="4.939 0.000 0.000 0.000 4.939 0.000 0.000 0.000 4.879" Properties=species:S:1:pos:R:3 pbc="T T T"
Sm 1.235 3.704 0.000
Sm 3.704 1.235 0.000
Y 1.235 1.235 2.441
Y 3.704 3.704 2.438
N 1.235 1.235 0.004
N 3.704 3.704 4.875
O 1.235 3.704 2.440
O 3.704 1.235 2.440
```

Results
- density (g/cm3) = 7.51
- calculated volume (Å³ per atom) = 14.88
- relative energy among the computed polymorphs (meV/atom) = 0
- space-group type = P4/nmm, No. 129
- raw total energy (eV per atom) = -8.3401


The following is a GGA-PBE calculation of an optimized crystal structure of MgBeSiPd, from OQMD.

Geometry as extended XYZ:
```
4
Lattice="0.000 3.013 3.013 3.013 0.000 3.013 3.013 3.013 0.000" Properties=species:S:1:pos:R:3 pbc="T T T"
Mg 0.000 0.000 0.000
Be 1.506 1.506 1.506
Si 4.519 4.519 4.519
Pd 3.013 3.013 3.013
```

Results
- density (g/cm3) = 5.09
- calculated volume (Å³ per atom) = 13.68
- relative energy among the computed polymorphs (meV/atom) = 2
- space-group type = F-43m, No. 216
- raw total energy (eV per atom) = -4.0716


The following is a GGA-PBE calculation of an optimized crystal structure of BeTlFeHg, from OQMD.

Geometry as extended XYZ:
```
4
Lattice="0.000 3.248 3.248 3.248 0.000 3.248 3.248 3.248 0.000" Properties=species:S:1:pos:R:3 pbc="T T T"
Be 0.000 0.000 0.000
Tl 1.624 1.624 1.624
Fe 3.248 3.248 3.248
Hg 4.872 4.872 4.872
```

Results
- density (g/cm3) = 11.39
- calculated volume (Å³ per atom) = 17.13
- relative energy among the computed polymorphs (meV/atom) = 0
- space-group type = F-43m, No. 216
- raw total energy (eV per atom) = -2.9651


The following is a GGA-PBE calculation of an optimized crystal structure of ErHfGa2Cu2, from OQMD.

Geometry as extended XYZ:
```
6
Lattice="4.267 0.000 0.000 -2.133 3.695 0.000 0.000 0.000 6.715" Properties=species:S:1:pos:R:3 pbc="T T T"
Er 0.000 0.000 0.000
Hf 0.000 0.000 3.357
Ga 0.000 2.464 1.823
Ga 0.000 2.464 4.892
Cu 2.133 1.232 1.970
Cu 2.133 1.232 4.745
```

Results
- density (g/cm3) = 9.60
- calculated volume (Å³ per atom) = 17.65
- space-group type = P-6m2, No. 187
- raw total energy (eV per atom) = -5.1207


The following is a GGA-PBE calculation of an optimized crystal structure of LiZn3, from OQMD.

Geometry as extended XYZ:
```
8
Lattice="2.722 -4.751 0.000 2.722 4.751 0.000 0.000 0.000 4.341" Properties=species:S:1:pos:R:3 pbc="T T T"
Li 2.722 3.957 3.256
Li 2.722 -3.957 1.085
Zn 1.321 1.576 3.256
Zn 1.321 -1.576 1.085
Zn 2.722 0.803 1.085
Zn 2.722 -0.803 3.256
Zn 4.122 1.576 3.256
Zn 4.122 -1.576 1.085
```

Results
- density (g/cm3) = 6.01
- calculated volume (Å³ per atom) = 14.03
- space-group type = Cmcm, No. 63
- raw total energy (eV per atom) = -1.5532


The following is a GGA-PBE calculation of an optimized crystal structure of SmErCu4, from OQMD.

Geometry as extended XYZ:
```
6
Lattice="-2.132 3.431 3.684 2.132 -3.431 3.684 2.132 3.431 -3.684" Properties=species:S:1:pos:R:3 pbc="T T T"
Sm 0.000 0.000 0.000
Er 2.132 0.000 3.106
Cu 2.132 2.047 0.907
Cu 0.000 2.022 2.161
Cu 0.000 1.384 4.591
Cu 0.000 4.840 2.161
```

Results
- formation enthalpy at 0 K (meV per atom) = -253
- density (g/cm3) = 8.81
- calculated volume (Å³ per atom) = 17.97
- space-group type = Imm2, No. 44
- raw total energy (eV per atom) = -4.2772


The following is a GGA-PBE calculation of an optimized crystal structure of YBeAlFe, from OQMD.

Geometry as extended XYZ:
```
4
Lattice="0.000 3.167 3.167 3.167 0.000 3.167 3.167 3.167 0.000" Properties=species:S:1:pos:R:3 pbc="T T T"
Y 0.000 0.000 0.000
Be 4.750 4.750 4.750
Al 1.583 1.583 1.583
Fe 3.167 3.167 3.167
```

Results
- density (g/cm3) = 4.73
- calculated volume (Å³ per atom) = 15.88
- relative energy among the computed polymorphs (meV/atom) = 43
- space-group type = F-43m, No. 216
- raw total energy (eV per atom) = -5.4677